VASP calculation (PBEsol) on a geometry-optimized YCuBr structure.

Summary:
formation energy without anion corrections	-0.3	eV/f.u.
raw total energy	-4.46	eV/atom

a = 4.625 Å, b = 4.625 Å, c = 4.625 Å
α = 60.00°, β = 60.00°, γ = 60.00°
Positions (direct):
Cu 0.250 0.250 0.250
Br 0.500 0.500 0.500
Y 0.000 0.000 0.000


VASP calculation (PBEsol) on a geometry-optimized YCu2Br structure.

Summary:
formation energy without anion corrections	-0.5	eV/f.u.
raw total energy	-4.47	eV/atom
offset from the most stable computed form	0.2542	eV per atom

a = 4.703 Å, b = 4.703 Å, c = 4.703 Å
α = 60.00°, β = 60.00°, γ = 60.00°
Positions (direct):
Cu 0.000 0.000 0.000
Cu 0.750 0.750 0.750
Y 0.250 0.250 0.250
Br 0.500 0.500 0.500


VASP calculation (PBEsol) on a geometry-optimized ZnCuBr2 structure.

Summary:
formation energy without anion corrections	-0.2	eV/f.u.
raw total energy	-2.48	eV/atom
offset from the most stable computed form	0.1297	eV per atom

a = 3.856 Å, b = 3.856 Å, c = 5.403 Å
α = 90.00°, β = 90.00°, γ = 90.00°
Positions (direct):
Br 0.000 0.000 0.875
Br 0.500 0.500 0.375
Cu 0.000 0.000 0.375
Zn 0.500 0.500 0.875


The highest formation energy without anion corrections belongs to which entry? ZnCuBr2


formation energy without anion corrections of number 3 (ZnCuBr2)? -0.2 eV/f.u.